Record 1
{"formula": "ZnOsW2", "functional": "PBE-GGA", "state": "relaxed", "dos_at_fermi_per_ev_cell": 2.61, "delta_e_f_ev_per_atom": 0.1867, "spacegroup": "Pmm2", "cell": [[-0.057, -4.373, -0.951], [1.638, 0.465, -2.238], [3.909, -0.643, 2.725]], "species": ["Os", "W", "W", "Zn"], "fractional_positions": [[0.500, 0.625, 0.783], [0.000, 0.125, 0.963], [0.500, 0.125, 0.295], [0.000, 0.625, 0.459]]}

***

Record 2
{"formula": "Pm5SmN6", "functional": "PBE-GGA", "state": "relaxed", "formation_energy_uncorrected_ev_per_atom": -1.45, "dos_at_fermi_per_ev_cell": 0.61, "spacegroup": "C2/m", "cell": [[6.180, 0.149, 0.938], [1.516, 5.239, 3.054], [0.103, 0.055, 6.251]], "species": ["N", "N", "N", "N", "N", "N", "Sm", "Pm", "Pm", "Pm", "Pm", "Pm"], "fractional_positions": [[0.750, 0.083, 0.332], [0.250, 0.585, 0.332], [0.250, 0.249, 0.000], [0.750, 0.751, 0.000], [0.750, 0.415, 0.668], [0.250, 0.917, 0.668], [0.000, 0.000, 0.000], [0.500, 0.166, 0.667], [0.000, 0.333, 0.333], [0.500, 0.500, 0.000], [0.000, 0.667, 0.667], [0.500, 0.834, 0.333]]}

***

Record 3
{"formula": "Dy5ThCd6", "functional": "PBE-GGA", "state": "relaxed", "dos_at_fermi_per_ev_cell": 15.97, "delta_e_f_ev_per_atom": -0.2660, "spacegroup": "C2/m", "cell": [[-2.605, 1.315, -4.392], [-5.395, -5.153, 1.657], [-0.007, 7.415, 5.413]], "species": ["Dy", "Dy", "Dy", "Dy", "Dy", "Th", "Cd", "Cd", "Cd", "Cd", "Cd", "Cd"], "fractional_positions": [[0.661, 0.162, 0.323], [0.331, 0.331, 0.662], [0.000, 0.500, 0.000], [0.669, 0.669, 0.338], [0.339, 0.838, 0.677], [0.000, 0.000, 0.000], [0.830, 0.571, 0.660], [0.830, 0.089, 0.660], [0.500, 0.734, 0.000], [0.500, 0.266, 0.000], [0.170, 0.911, 0.340], [0.170, 0.429, 0.340]]}

***

Record 4
{"formula": "LiSmGe2Pd4", "functional": "PBE-GGA", "state": "relaxed", "dos_at_fermi_per_ev_cell": 6.00, "delta_e_f_ev_per_atom": -0.6747, "spacegroup": "R-3m", "cell": [[-2.027, -2.909, 2.431], [-1.945, -3.361, -1.843], [5.836, -6.569, 0.807]], "species": ["Li", "Sm", "Ge", "Ge", "Pd", "Pd", "Pd", "Pd"], "fractional_positions": [[0.500, 0.500, 0.500], [0.000, 0.000, 0.000], [0.761, 0.761, 0.716], [0.239, 0.239, 0.284], [0.403, 0.403, 0.791], [0.866, 0.866, 0.401], [0.134, 0.134, 0.599], [0.597, 0.597, 0.209]]}

***

Record 5
{"formula": "Na2MgGa", "functional": "PBE-GGA", "state": "relaxed", "dos_at_fermi_per_ev_cell": 2.00, "delta_e_f_ev_per_atom": 0.0910, "spacegroup": "P4/mmm", "cell": [[-0.814, -3.692, 1.234], [3.776, -1.056, -0.668], [1.546, 1.687, 6.066]], "species": ["Na", "Na", "Mg", "Ga"], "fractional_positions": [[0.000, 0.000, 0.767], [0.000, 0.000, 0.233], [0.500, 0.500, 0.500], [0.500, 0.500, 0.000]]}

***

Record 6
{"formula": "BeNbB3", "functional": "PBE-GGA", "state": "relaxed", "de_polymorph_mev_per_atom": 0, "dos_at_fermi_per_ev_cell": 1.29, "delta_e_f_ev_per_atom": -0.4072, "spacegroup": "Cmcm", "cell": [[-2.612, -0.753, 1.424], [0.277, -3.053, -1.106], [4.390, -0.653, 7.703]], "species": ["Be", "Be", "Nb", "Nb", "B", "B", "B", "B", "B", "B"], "fractional_positions": [[0.250, 0.792, 0.584], [0.750, 0.208, 0.416], [0.250, 0.076, 0.153], [0.750, 0.924, 0.847], [0.250, 0.367, 0.734], [0.750, 0.633, 0.266], [0.250, 0.474, 0.948], [0.750, 0.526, 0.052], [0.750, 0.319, 0.638], [0.250, 0.681, 0.362]]}

***

Record 7
{"formula": "AgPb2IBr4", "functional": "PBE-GGA", "state": "relaxed", "formation_energy_uncorrected_ev_per_atom": -0.70, "dos_at_fermi_per_ev_cell": 0.00, "spacegroup": "C2/m", "cell": [[4.284, 0.000, 0.000], [2.142, 7.115, 0.161], [2.142, 1.485, 9.214]], "species": ["Ag", "Pb", "Pb", "I", "Br", "Br", "Br", "Br"], "fractional_positions": [[0.000, 0.000, 0.000], [0.818, 0.605, 0.759], [0.182, 0.395, 0.241], [0.500, 0.500, 0.500], [0.176, 0.915, 0.733], [0.380, 0.314, 0.925], [0.824, 0.085, 0.267], [0.620, 0.686, 0.075]]}

***

Record 8
{"formula": "BeWAu3", "functional": "PBE-GGA", "state": "relaxed", "de_polymorph_mev_per_atom": 888, "dos_at_fermi_per_ev_cell": 4.41, "delta_e_f_ev_per_atom": 1.6542, "spacegroup": "Pm-3m", "cell": [[5.072, 0.000, 0.000], [0.000, 5.072, 0.000], [0.000, 0.000, 5.072]], "species": ["Be", "Au", "Au", "Au", "W"], "fractional_positions": [[0.500, 0.500, 0.500], [0.000, 0.500, 0.000], [0.000, 0.000, 0.500], [0.500, 0.000, 0.000], [0.000, 0.000, 0.000]]}

***

Record 9
{"formula": "Ba2Sc2BiSb2", "functional": "PBE-GGA", "state": "relaxed", "formation_energy_uncorrected_ev_per_atom": -0.60, "dos_at_fermi_per_ev_cell": 5.53, "spacegroup": "I4/mmm", "cell": [[-0.413, 1.776, 5.076], [-3.999, -3.504, 0.900], [8.170, -5.266, -0.358]], "species": ["Ba", "Ba", "Sc", "Sc", "Bi", "Sb", "Sb"], "fractional_positions": [[0.185, 0.185, 0.369], [0.815, 0.815, 0.631], [0.000, 0.500, 0.000], [0.500, 0.000, 0.000], [0.000, 0.000, 0.000], [0.387, 0.387, 0.774], [0.613, 0.613, 0.226]]}

***

Record 10
{"formula": "Pm6Dy8Er", "functional": "PBE-GGA", "state": "relaxed", "de_polymorph_mev_per_atom": 0, "dos_at_fermi_per_ev_cell": 21.51, "delta_e_f_ev_per_atom": 0.1191, "spacegroup": "R-3", "cell": [[9.101, 0.000, 0.000], [4.551, 7.882, 0.000], [4.551, 2.627, 6.925]], "species": ["Pm", "Pm", "Pm", "Pm", "Pm", "Pm", "Dy", "Dy", "Dy", "Dy", "Dy", "Dy", "Dy", "Dy", "Er"], "fractional_positions": [[0.461, 0.896, 0.871], [0.104, 0.229, 0.129], [0.229, 0.539, 0.129], [0.771, 0.461, 0.871], [0.896, 0.771, 0.871], [0.539, 0.104, 0.129], [0.252, 0.281, 0.579], [0.719, 0.112, 0.421], [0.112, 0.748, 0.421], [0.577, 0.577, 0.269], [0.423, 0.423, 0.731], [0.888, 0.252, 0.579], [0.281, 0.888, 0.579], [0.748, 0.719, 0.421], [0.000, 0.000, 0.000]]}

***

Record 11
{"formula": "AcTbRe", "functional": "PBE-GGA", "state": "relaxed", "dos_at_fermi_per_ev_cell": 5.56, "delta_e_f_ev_per_atom": 0.5533, "spacegroup": "C2/m", "cell": [[-4.839, -0.917, -3.040], [-2.963, -3.713, -3.307], [-17.073, -11.246, -2.203]], "species": ["Re", "Re", "Tb", "Tb", "Ac", "Ac"], "fractional_positions": [[0.093, 0.093, 0.062], [0.660, 0.660, 0.246], [0.838, 0.838, 0.305], [0.915, 0.915, 0.003], [0.196, 0.196, 0.536], [0.557, 0.557, 0.771]]}

***

Record 12
{"formula": "PmIn2Au", "functional": "PBE-GGA", "state": "relaxed", "de_polymorph_mev_per_atom": 218, "dos_at_fermi_per_ev_cell": 1.56, "delta_e_f_ev_per_atom": -0.3486, "spacegroup": "Fm-3m", "cell": [[-4.202, -0.450, 2.923], [0.014, -3.163, 4.050], [-0.035, 1.926, 4.764]], "species": ["In", "In", "Au", "Pm"], "fractional_positions": [[0.250, 0.250, 0.250], [0.750, 0.750, 0.750], [0.000, 0.000, 0.000], [0.500, 0.500, 0.500]]}